No. 1
Below is crystalline Pr3IrAuCl at its relaxed geometry, with properties calculated at the GGA-PBE level.

The space group is P2_1/m (No. 11) and the conventional cell measures 8.424, 4.332 and 9.482 Å, with angles of 90.00, 99.18 and 90.00 degrees. The distinct sites, in fractional coordinates, are Pr at (0.072, 0.250, 0.340), Pr at (0.213, 0.250, 0.958), Pr at (0.376, 0.750, 0.614), Ir at (0.159, 0.250, 0.648), Au at (0.308, 0.750, 0.261) and Cl at (0.417, 0.750, 0.909).

The value obtained for the total magnetic moment is 0.0000 μB/atom. For the total energy, the calculation gives -66.88 eV per cell.


No. 2
Below is crystalline HfSiAg2N at its relaxed geometry, with properties calculated at the GGA-PBE level.

The space group is P4/mmm (No. 123) and the conventional cell measures 5.459, 5.459 and 5.135 Å, with angles of 90.00, 90.00 and 90.00 degrees. The distinct sites, in fractional coordinates, are Hf at (0.000, 0.000, 0.000), Si at (0.000, 0.000, 0.500), Ag at (0.000, 0.500, 0.000) and N at (0.500, 0.500, 0.500).

The value obtained for the total magnetic moment is 0.3975 μB/atom. For the total energy, the calculation gives -18.86 eV per cell.


No. 3
Below is crystalline La4TbEr3 at its relaxed geometry, with properties calculated at the GGA-PBE level.

The space group is Pmmn (No. 59, origin choice 2) and the conventional cell measures 5.146, 10.289 and 10.246 Å, with angles of 90.00, 90.00 and 90.00 degrees. The distinct sites, in fractional coordinates, are La at (0.250, 0.000, 0.128), La at (0.250, 0.250, 0.871), La at (0.250, 0.750, 0.872), Tb at (0.250, 0.250, 0.384), Er at (0.250, 0.000, 0.616) and Er at (0.250, 0.750, 0.384).

For the formation enthalpy at 0 K, the calculation gives 31 meV/atom. The value obtained for the total magnetic moment is 0.0000 μB/atom.